4
Lattice="1.399 0.808 8.033 -1.399 0.808 8.033 0.000 -1.615 8.033" Properties=species:S:1:pos:R:3 comment="PBE UNi2C, relaxed" rho_g_cm3=11.20 magmom_total_mub_per_cell=0.42 formation_energy_kj_per_mol_atoms=55.9 sg="R-3m (166)" energy_ev_per_cell=-29.8 pbc="T T T"
U 0.000 0.000 0.000
Ni 0.000 0.000 2.976
Ni 0.000 0.000 21.121
C 0.000 0.000 12.049

***

8
Lattice="3.111 0.000 0.000 0.000 3.111 0.000 0.000 0.000 12.257" Properties=species:S:1:pos:R:3 comment="PBE HfMg3Ni4, relaxed" rho_g_cm3=6.80 magmom_total_mub_per_cell=0.00 formation_energy_kj_per_mol_atoms=-23.5 sg="P4/mmm (123)" energy_ev_per_cell=-39.8 pbc="T T T"
Hf 0.000 0.000 0.000
Mg 0.000 0.000 3.149
Mg 0.000 0.000 6.128
Mg 0.000 0.000 9.108
Ni 1.556 1.556 1.510
Ni 1.556 1.556 4.641
Ni 1.556 1.556 7.616
Ni 1.556 1.556 10.747

***

10
Lattice="0.000 6.584 2.567 4.507 0.000 2.567 4.507 6.584 0.000" Properties=species:S:1:pos:R:3 comment="PBE In2Co3, relaxed" rho_g_cm3=8.86 relative_energy_mev_per_atom=0.0 magmom_total_mub_per_cell=8.05 formation_energy_kj_per_mol_atoms=18.4 sg="Fdd2 (43)" energy_ev_per_cell=-51.7 pbc="T T T"
In 5.170 3.969 2.567
In 6.098 7.261 3.851
In 3.844 9.199 2.567
In 2.917 5.907 3.851
Co 3.842 1.549 2.545
Co 1.588 1.743 1.261
Co 2.919 4.841 1.261
Co 4.507 6.584 1.628
Co 6.761 9.876 2.912
Co 5.173 11.619 2.545

***

3
Lattice="0.000 3.016 3.016 3.016 0.000 3.016 3.016 3.016 0.000" Properties=species:S:1:pos:R:3 comment="PBE MgBeHg, relaxed" rho_g_cm3=7.08 relative_energy_mev_per_atom=88.5 magmom_total_mub_per_cell=0.00 formation_energy_kj_per_mol_atoms=19.2 sg="F-43m (216)" energy_ev_per_cell=-5.0 pbc="T T T"
Mg 0.000 0.000 0.000
Be 1.508 1.508 1.508
Hg 3.016 3.016 3.016